VASP calculation (PBE) on a relaxed structure of PbBr3.

Output
formation energy without anion corrections	-339	meV/atom
symmetry	Cmcm, No. 63
DFT total energy	-20.168	eV/cell

a = 10.5528 Å, b = 10.5528 Å, c = 4.9244 Å
α = 90.00°, β = 90.00°, γ = 132.52°
With the nearest neighbours (Å) after each atom.
Atoms (fractional coordinates):
Pb 0.0779 0.9221 0.7500  2 Br 2.61
Pb 0.9221 0.0779 0.2500  2 Br 2.61
Br 0.0736 0.4006 0.2500  1 Pb 2.61
Br 0.4006 0.0736 0.7500  1 Pb 2.61
Br 0.4809 0.5191 0.7500  2 Br 2.57
Br 0.5191 0.4809 0.2500  2 Br 2.57
Br 0.5994 0.9264 0.2500  1 Pb 2.61
Br 0.9264 0.5994 0.7500  1 Pb 2.61